Record 1
DFT (GGA-PBE) results for a geometry-optimized SbTeAuN2 structure.

Properties
electronic total energy: -21.11 eV/cell
offset from the most stable computed form: 0 meV per atom
V: 104.3 Å³/f.u.
uncorrected formation energy: 1.2158 eV per atom

Cell and atoms, written as CIF:
```
data_SbTeAuN2
_chemical_formula_sum 'Sb1 Te1 Au1 N2'
_cell_length_a 4.011
_cell_length_b 4.011
_cell_length_c 6.484
_cell_angle_alpha 90.00
_cell_angle_beta 90.00
_cell_angle_gamma 90.00
_space_group_name_H-M_alt 'P 4/m m m'
_space_group_IT_number 123
_space_group_name_Hall '-P 4 2'
loop_
_atom_site_label
_atom_site_fract_x
_atom_site_fract_y
_atom_site_fract_z
_atom_site_occupancy
Sb1 0.000 0.000 0.000 1
Te1 0.000 0.000 0.500 1
Au1 0.500 0.500 0.500 1
N1 0.000 0.500 0.000 1
```



Record 2
DFT (GGA-PBE) results for a geometry-optimized MgHg4Mo structure.

Properties
electronic total energy: -39.66 eV/cell
E_form: 0.6196 eV/atom
V: 135.7 Å³/f.u.

Cell and atoms, written as CIF:
```
data_MgHg4Mo
_chemical_formula_sum 'Mg4 Hg16 Mo4'
_cell_length_a 8.158
_cell_length_b 8.158
_cell_length_c 8.158
_cell_angle_alpha 90.00
_cell_angle_beta 90.00
_cell_angle_gamma 90.00
_space_group_name_H-M_alt 'F -4 3 m'
_space_group_IT_number 216
_space_group_name_Hall 'F -4 2 3'
loop_
_atom_site_label
_atom_site_fract_x
_atom_site_fract_y
_atom_site_fract_z
_atom_site_occupancy
Mg1 0.000 0.000 0.000 1
Hg1 0.125 0.125 0.375 1
Mo1 0.250 0.250 0.750 1
```



Record 3
DFT (GGA-PBE) results for a geometry-optimized LiYSc2Se4 structure.

Properties
electronic total energy: -48.27 eV/cell
V: 172.8 Å³/f.u.
uncorrected formation energy: -1.6617 eV per atom

Cell and atoms, written as CIF:
```
data_LiYSc2Se4
_chemical_formula_sum 'Li1 Y1 Sc2 Se4'
_cell_length_a 6.787
_cell_length_b 3.920
_cell_length_c 6.871
_cell_angle_alpha 90.00
_cell_angle_beta 109.05
_cell_angle_gamma 90.00
_space_group_name_H-M_alt 'P 1 2/m 1'
_space_group_IT_number 10
loop_
_space_group_symop_operation_xyz
'x,y,z'
'-x,-y,-z'
'-x,y,-z'
'x,-y,z'
loop_
_atom_site_label
_atom_site_fract_x
_atom_site_fract_y
_atom_site_fract_z
_atom_site_occupancy
Li1 0.000 0.000 0.000 1
Y1 0.500 0.500 0.000 1
Sc1 0.000 0.500 0.500 1
Sc2 0.500 0.000 0.500 1
Se1 0.238 0.000 0.741 1
Se2 0.247 0.500 0.257 1
```



Record 4
DFT (GGA-PBE) results for a geometry-optimized RbHg3Sb structure.

Properties
electronic total energy: -6.10 eV/cell
offset from the most stable computed form: 173 meV per atom
V: 208.5 Å³/f.u.
uncorrected formation energy: -0.0208 eV per atom

Cell and atoms, written as CIF:
```
data_RbHg3Sb
_chemical_formula_sum 'Rb1 Hg3 Sb1'
_cell_length_a 5.929
_cell_length_b 5.929
_cell_length_c 5.929
_cell_angle_alpha 90.00
_cell_angle_beta 90.00
_cell_angle_gamma 90.00
_space_group_name_H-M_alt 'P m -3 m'
_space_group_IT_number 221
_space_group_name_Hall '-P 4 2 3'
loop_
_atom_site_label
_atom_site_fract_x
_atom_site_fract_y
_atom_site_fract_z
_atom_site_occupancy
Rb1 0.000 0.000 0.000 1
Hg1 0.000 0.500 0.500 1
Sb1 0.500 0.500 0.500 1
```



Record 5
DFT (GGA-PBE) results for a geometry-optimized Ba2CePrS6 structure.

Properties
electronic total energy: -114.40 eV/cell
V: 299.9 Å³/f.u.
uncorrected formation energy: -1.7878 eV per atom

Cell and atoms, written as CIF:
```
data_Ba2CePrS6
_chemical_formula_sum 'Ba4 Ce2 Pr2 S12'
_cell_length_a 7.347
_cell_length_b 7.732
_cell_length_c 12.822
_cell_angle_alpha 90.00
_cell_angle_beta 124.57
_cell_angle_gamma 90.00
_space_group_name_H-M_alt 'P 1 21/c 1'
_space_group_IT_number 14
loop_
_space_group_symop_operation_xyz
'x,y,z'
'-x,-y,-z'
'-x,y+1/2,-z+1/2'
'x,-y+1/2,z+1/2'
loop_
_atom_site_label
_atom_site_fract_x
_atom_site_fract_y
_atom_site_fract_z
_atom_site_occupancy
Ba1 0.225 0.068 0.249 1
Ce1 0.500 0.000 0.000 1
Pr1 0.000 0.000 0.500 1
S1 0.153 0.198 0.947 1
S2 0.249 0.711 0.943 1
S3 0.360 0.034 0.756 1
```



Record 6
DFT (GGA-PBE) results for a geometry-optimized La2ZnAs structure.

Properties
electronic total energy: -65.38 eV/cell
offset from the most stable computed form: 680 meV per atom
E_form: -0.1417 eV/atom
V: 100.6 Å³/f.u.

Cell and atoms, written as CIF:
```
data_La2ZnAs
_chemical_formula_sum 'La8 Zn4 As4'
_cell_length_a 7.384
_cell_length_b 7.384
_cell_length_c 7.384
_cell_angle_alpha 90.00
_cell_angle_beta 90.00
_cell_angle_gamma 90.00
_space_group_name_H-M_alt 'F -4 3 m'
_space_group_IT_number 216
_space_group_name_Hall 'F -4 2 3'
loop_
_atom_site_label
_atom_site_fract_x
_atom_site_fract_y
_atom_site_fract_z
_atom_site_occupancy
La1 0.000 0.000 0.000 1
La2 0.250 0.250 0.250 1
Zn1 0.250 0.250 0.750 1
As1 0.000 0.000 0.500 1
```



Record 7
DFT (GGA-PBE) results for a geometry-optimized AcSCl structure.

Properties
electronic total energy: -67.96 eV/cell
offset from the most stable computed form: 15 meV per atom
V: 88.0 Å³/f.u.
uncorrected formation energy: -2.3027 eV per atom

Cell and atoms, written as CIF:
```
data_AcSCl
_chemical_formula_sum 'Ac4 S4 Cl4'
_cell_length_a 7.061
_cell_length_b 7.061
_cell_length_c 7.061
_cell_angle_alpha 90.00
_cell_angle_beta 90.00
_cell_angle_gamma 90.00
_space_group_name_H-M_alt 'F -4 3 m'
_space_group_IT_number 216
_space_group_name_Hall 'F -4 2 3'
loop_
_atom_site_label
_atom_site_fract_x
_atom_site_fract_y
_atom_site_fract_z
_atom_site_occupancy
Ac1 0.000 0.000 0.000 1
S1 0.250 0.250 0.750 1
Cl1 0.250 0.250 0.250 1
```



Record 8
DFT (GGA-PBE) results for a geometry-optimized UCo2Ge structure.

Properties
electronic total energy: -122.94 eV/cell
offset from the most stable computed form: 163 meV per atom
E_form: -0.1542 eV/atom
V: 60.9 Å³/f.u.

Cell and atoms, written as CIF:
```
data_UCo2Ge
_chemical_formula_sum 'U4 Co8 Ge4'
_cell_length_a 6.246
_cell_length_b 6.246
_cell_length_c 6.246
_cell_angle_alpha 90.00
_cell_angle_beta 90.00
_cell_angle_gamma 90.00
_space_group_name_H-M_alt 'F m -3 m'
_space_group_IT_number 225
_space_group_name_Hall '-F 4 2 3'
loop_
_atom_site_label
_atom_site_fract_x
_atom_site_fract_y
_atom_site_fract_z
_atom_site_occupancy
U1 0.000 0.000 0.000 1
Co1 0.250 0.250 0.250 1
Ge1 0.000 0.000 0.500 1
```